# BeVAu PBE relaxed
data_BeVAu
_chemical_formula_sum 'Be2 V2 Au2'
_cell_length_a 3.7300
_cell_length_b 3.7300
_cell_length_c 9.2545
_cell_angle_alpha 90.00
_cell_angle_beta 90.00
_cell_angle_gamma 120.00
_symmetry_space_group_name_H-M 'P 63/m m c'
_symmetry_Int_Tables_number 194
_symmetry_space_group_name_Hall '-P 6c 2c'
loop_
_atom_site_label
_atom_site_type_symbol
_atom_site_fract_x
_atom_site_fract_y
_atom_site_fract_z
_atom_site_occupancy
Be1 Be 0.0000 0.0000 0.2500 1
V1 V 0.0000 0.0000 0.0000 1
Au1 Au 0.3333 0.6667 0.2500 1
# VASP energy = -13.6 eV per formula unit
# Fermi-level density of states = 7.154 states/eV per cell
# distance to the lowest polymorph of the same formula = 0.9406 eV/atom
# mass density = 7.65 g/cm³